Entry 1:
VASP calculation (PBE-GGA) on a relaxed structure of PrHoZnPt.

Results
* excess energy over the best structure of this formula in the dataset: 0 meV per atom

a = 4.435 Å, b = 3.918 Å, c = 11.061 Å
α = 90.00°, β = 90.00°, γ = 90.00°
Atoms (fractional coordinates):
Pr 0.000 0.000 0.000
Pr 0.000 0.500 0.500
Ho 0.500 0.000 0.718
Ho 0.500 0.500 0.218
Zn 0.500 0.000 0.427
Zn 0.500 0.500 0.927
Pt 0.000 0.000 0.279
Pt 0.000 0.500 0.779



Entry 2:
VASP calculation (PBE-GGA) on a relaxed structure of PrHo14Pu.

a = 7.065 Å, b = 7.065 Å, c = 9.943 Å
α = 90.00°, β = 90.00°, γ = 90.00°
Atoms (fractional coordinates):
Pr 0.000 0.000 0.000
Ho 0.000 0.000 0.500
Ho 0.000 0.500 0.000
Ho 0.000 0.500 0.500
Ho 0.253 0.253 0.250
Ho 0.253 0.253 0.750
Ho 0.253 0.747 0.250
Ho 0.253 0.747 0.750
Ho 0.500 0.000 0.000
Ho 0.500 0.000 0.500
Ho 0.500 0.500 0.500
Ho 0.747 0.253 0.250
Ho 0.747 0.253 0.750
Ho 0.747 0.747 0.250
Ho 0.747 0.747 0.750
Pu 0.500 0.500 0.000



Entry 3:
VASP calculation (PBE-GGA) on a relaxed structure of Pr14HoPu.

a = 10.404 Å, b = 7.368 Å, c = 7.368 Å
α = 90.01°, β = 90.00°, γ = 90.00°
Atoms (fractional coordinates):
Pr 0.000 0.000 0.000
Pr 0.000 0.000 0.499
Pr 0.000 0.499 0.000
Pr 0.000 0.500 0.500
Pr 0.254 0.749 0.749
Pr 0.255 0.251 0.749
Pr 0.255 0.749 0.251
Pr 0.256 0.251 0.251
Pr 0.500 0.500 0.999
Pr 0.500 0.999 0.500
Pr 0.744 0.251 0.251
Pr 0.745 0.251 0.749
Pr 0.745 0.749 0.251
Pr 0.746 0.749 0.749
Ho 0.500 0.000 0.000
Pu 0.500 0.500 0.500



Entry 4:
VASP calculation (PBE-GGA) on a relaxed structure of Pr10Ho4Pu.

a = 8.823 Å, b = 8.823 Å, c = 8.823 Å
α = 111.44°, β = 111.44°, γ = 105.61°
Atoms (fractional coordinates):
Pr 0.043 0.370 0.097
Pr 0.054 0.957 0.327
Pr 0.250 0.750 0.500
Pr 0.273 0.946 0.903
Pr 0.370 0.273 0.327
Pr 0.630 0.727 0.673
Pr 0.727 0.054 0.097
Pr 0.750 0.250 0.500
Pr 0.946 0.043 0.673
Pr 0.957 0.630 0.903
Ho 0.174 0.442 0.616
Ho 0.442 0.826 0.268
Ho 0.558 0.174 0.732
Ho 0.826 0.558 0.384
Pu 0.500 0.500 0.000



Entry 5:
VASP calculation (PBE-GGA) on a relaxed structure of Pr6Ho2Pu.

a = 8.576 Å, b = 8.576 Å, c = 9.229 Å
α = 93.67°, β = 93.67°, γ = 62.94°
Atoms (fractional coordinates):
Pr 0.066 0.748 0.878
Pr 0.100 0.634 0.486
Pr 0.252 0.934 0.622
Pr 0.327 0.468 0.145
Pr 0.366 0.900 0.014
Pr 0.468 0.327 0.645
Pr 0.532 0.673 0.355
Pr 0.634 0.100 0.986
Pr 0.673 0.532 0.855
Pr 0.748 0.066 0.378
Pr 0.900 0.366 0.514
Pr 0.934 0.252 0.122
Ho 0.138 0.314 0.834
Ho 0.314 0.138 0.334
Ho 0.686 0.862 0.666
Ho 0.862 0.686 0.166
Pu 0.114 0.886 0.250
Pu 0.886 0.114 0.750



Entry 6:
VASP calculation (PBE-GGA) on a relaxed structure of Pr8Ho5Pu.

a = 8.670 Å, b = 8.670 Å, c = 9.498 Å
α = 122.91°, β = 122.91°, γ = 61.80°
Atoms (fractional coordinates):
Pr 0.032 0.032 0.362
Pr 0.128 0.474 0.569
Pr 0.419 0.088 0.833
Pr 0.422 0.228 0.290
Pr 0.526 0.872 0.431
Pr 0.772 0.578 0.710
Pr 0.912 0.581 0.167
Pr 0.968 0.968 0.638
Ho 0.225 0.583 0.048
Ho 0.417 0.775 0.952
Ho 0.599 0.320 0.777
Ho 0.680 0.401 0.223
Ho 0.969 0.031 0.000
Pu 0.324 0.676 0.500



Entry 7:
VASP calculation (PBE-GGA) on a relaxed structure of Pr7Ho4Pu.

a = 6.381 Å, b = 6.381 Å, c = 13.254 Å
α = 103.38°, β = 103.38°, γ = 51.81°
Atoms (fractional coordinates):
Pr 0.000 0.000 0.000
Pr 0.141 0.141 0.469
Pr 0.277 0.277 0.105
Pr 0.341 0.341 0.742
Pr 0.659 0.659 0.258
Pr 0.723 0.723 0.895
Pr 0.859 0.859 0.531
Ho 0.047 0.047 0.776
Ho 0.411 0.411 0.374
Ho 0.589 0.589 0.626
Ho 0.953 0.953 0.224
Pu 0.500 0.500 0.000



Entry 8:
VASP calculation (PBE-GGA) on a relaxed structure of PrHoPu4.

a = 6.207 Å, b = 6.207 Å, c = 6.207 Å
α = 60.00°, β = 60.00°, γ = 60.00°
Atoms (fractional coordinates):
Pr 0.000 0.000 0.000
Ho 0.750 0.750 0.750
Pu 0.375 0.375 0.375
Pu 0.375 0.375 0.874
Pu 0.375 0.874 0.375
Pu 0.874 0.375 0.375



Entry 9:
VASP calculation (PBE-GGA) on a relaxed structure of Pr8Ho4Pu.

a = 7.905 Å, b = 7.905 Å, c = 7.905 Å
α = 90.33°, β = 90.33°, γ = 90.33°
Atoms (fractional coordinates):
Pr 0.242 0.242 0.755
Pr 0.242 0.755 0.242
Pr 0.243 0.243 0.243
Pr 0.245 0.758 0.758
Pr 0.755 0.242 0.242
Pr 0.757 0.757 0.757
Pr 0.758 0.245 0.758
Pr 0.758 0.758 0.245
Ho 0.000 0.000 0.000
Ho 0.000 0.500 0.500
Ho 0.500 0.000 0.500
Ho 0.500 0.500 0.000
Pu 0.500 0.500 0.500



Entry 10:
VASP calculation (PBE-GGA) on a relaxed structure of Pr6Ho5Pu.

a = 9.561 Å, b = 9.561 Å, c = 9.561 Å
α = 148.85°, β = 116.27°, γ = 72.64°
Atoms (fractional coordinates):
Pr 0.083 0.335 0.748
Pr 0.248 0.000 0.248
Pr 0.413 0.665 0.748
Pr 0.587 0.335 0.252
Pr 0.752 0.000 0.752
Pr 0.917 0.665 0.252
Ho 0.166 0.166 0.000
Ho 0.334 0.834 0.500
Ho 0.500 0.500 0.000
Ho 0.666 0.166 0.500
Ho 0.834 0.834 0.000
Pu 0.000 0.500 0.500



Entry 11:
VASP calculation (PBE-GGA) on a relaxed structure of Pr3Ho4Pu.

a = 3.458 Å, b = 11.693 Å, c = 12.955 Å
α = 90.00°, β = 90.00°, γ = 90.00°
Atoms (fractional coordinates):
Pr 0.000 0.000 0.000
Pr 0.000 0.500 0.235
Pr 0.000 0.500 0.765
Pr 0.500 0.000 0.265
Pr 0.500 0.000 0.735
Pr 0.500 0.500 0.500
Ho 0.000 0.247 0.368
Ho 0.000 0.247 0.632
Ho 0.000 0.753 0.368
Ho 0.000 0.753 0.632
Ho 0.500 0.253 0.132
Ho 0.500 0.253 0.868
Ho 0.500 0.747 0.132
Ho 0.500 0.747 0.868
Pu 0.000 0.000 0.500
Pu 0.500 0.500 0.000



Entry 12:
VASP calculation (PBE-GGA) on a relaxed structure of Pr6Ho8Pu.

a = 8.689 Å, b = 8.689 Å, c = 8.689 Å
α = 63.20°, β = 63.20°, γ = 63.20°
Atoms (fractional coordinates):
Pr 0.045 0.725 0.604
Pr 0.275 0.396 0.955
Pr 0.396 0.955 0.275
Pr 0.604 0.045 0.725
Pr 0.725 0.604 0.045
Pr 0.955 0.275 0.396
Ho 0.076 0.076 0.076
Ho 0.213 0.256 0.612
Ho 0.256 0.612 0.213
Ho 0.388 0.787 0.744
Ho 0.612 0.213 0.256
Ho 0.744 0.388 0.787
Ho 0.787 0.744 0.388
Ho 0.924 0.924 0.924
Pu 0.500 0.500 0.500



Number 1: energy -4.920 eV per atom, ΔH_f (0 K) -752 meV per atom. Number 2: energy -5.159 eV per atom, ΔH_f (0 K) 41 meV per atom. Number 3: energy -5.321 eV per atom, ΔH_f (0 K) 43 meV per atom. Number 4: energy -5.019 eV per atom, ΔH_f (0 K) 344 meV per atom. Number 5: energy -5.391 eV per atom, ΔH_f (0 K) 405 meV per atom. Number 6: energy -5.177 eV per atom, ΔH_f (0 K) 213 meV per atom. Number 7: energy -5.291 eV per atom, ΔH_f (0 K) 218 meV per atom. Number 8: energy -10.872 eV per atom, ΔH_f (0 K) 242 meV per atom. Number 9: energy -4.970 eV per atom, ΔH_f (0 K) 482 meV per atom. Number 10: energy -5.437 eV per atom, ΔH_f (0 K) 54 meV per atom. Number 11: energy -5.717 eV per atom, ΔH_f (0 K) 156 meV per atom. Number 12: energy -5.192 eV per atom, ΔH_f (0 K) 116 meV per atom.